DFT (PBE) results for an optimized crystal structure of Tm2LuAl7Cu2.

Values from the calculation:
VASP energy ... -4.3826 eV/atom
Size of the total moment ... 0.000 μB/atom

Lattice parameters (Å, degrees): 5.4398 5.4398 25.2080 90.00 90.00 120.00
Space group R-3m (No. 166, hexagonal axes)
Inequivalent atoms, fractional coordinates:
Tm  0.0000  0.0000  0.1423
Lu  0.0000  0.0000  0.0000
Al  0.0000  0.0000  0.5000
Al  0.0063  0.5032  0.9209
Cu  0.0000  0.0000  0.3352

=====

DFT (PBE) results for an optimized crystal structure of LuAlCuW.

Values from the calculation:
VASP energy ... -5.6360 eV/atom
Size of the total moment ... 0.429 μB/atom
Distance to the lowest polymorph of the same formula ... 0.291 eV/atom

Lattice parameters (Å, degrees): 6.587 6.587 6.587 90.00 90.00 90.00
Space group F-43m (No. 216)
Inequivalent atoms, fractional coordinates:
Lu  0.000  0.000  0.000
Al  0.250  0.250  0.250
Cu  0.000  0.000  0.500
W  0.250  0.250  0.750

=====

DFT (PBE) results for an optimized crystal structure of LuAlCuW.

Values from the calculation:
VASP energy ... -5.9272 eV/atom
Size of the total moment ... 0.006 μB/atom
Distance to the lowest polymorph of the same formula ... 0.000 eV/atom

Lattice parameters (Å, degrees): 6.499 6.499 6.499 90.00 90.00 90.00
Space group F-43m (No. 216)
Inequivalent atoms, fractional coordinates:
Lu  0.000  0.000  0.000
Al  0.000  0.000  0.500
Cu  0.250  0.250  0.750
W  0.250  0.250  0.250

=====

DFT (PBE) results for an optimized crystal structure of YLuAlCu.

Values from the calculation:
VASP energy ... -4.5161 eV/atom
Size of the total moment ... 0.001 μB/atom
Distance to the lowest polymorph of the same formula ... 0.000 eV/atom

Lattice parameters (Å, degrees): 6.976 6.976 6.976 90.00 90.00 90.00
Space group F-43m (No. 216)
Inequivalent atoms, fractional coordinates:
Y  0.000  0.000  0.000
Lu  0.250  0.250  0.750
Al  0.250  0.250  0.250
Cu  0.000  0.000  0.500

=====

DFT (PBE) results for an optimized crystal structure of LuZrAlCu.

Values from the calculation:
VASP energy ... -5.0080 eV/atom
Size of the total moment ... 0.477 μB/atom
Distance to the lowest polymorph of the same formula ... 0.000 eV/atom

Lattice parameters (Å, degrees): 6.774 6.774 6.774 90.00 90.00 90.00
Space group F-43m (No. 216)
Inequivalent atoms, fractional coordinates:
Lu  0.000  0.000  0.000
Zr  0.250  0.250  0.250
Al  0.000  0.000  0.500
Cu  0.250  0.250  0.750

=====

DFT (PBE) results for an optimized crystal structure of Mg2AlCu3.

Values from the calculation:
VASP energy ... -3.2263 eV/atom

Lattice parameters (Å, degrees): 5.0877 5.0877 7.9663 90.00 90.00 120.00
Space group P6_3/mmc (No. 194)
Inequivalent atoms, fractional coordinates:
Mg  0.3333  0.6667  0.0631
Al  0.0000  0.0000  0.0000
Cu  0.1705  0.3410  0.7500

=====

DFT (PBE) results for an optimized crystal structure of MgAlCu.

Values from the calculation:
VASP energy ... -3.1938 eV/atom

Lattice parameters (Å, degrees): 5.169 5.232 7.026 90.00 90.00 90.00
Space group Imma (No. 74)
Inequivalent atoms, fractional coordinates:
Mg  0.000  0.250  0.119
Al  0.000  0.000  0.500
Cu  0.250  0.250  0.750

=====

DFT (PBE) results for an optimized crystal structure of MgAlCu.

Values from the calculation:
VASP energy ... -3.0760 eV/atom

Lattice parameters (Å, degrees): 2.930 5.665 15.347 80.07 84.65 75.28
Space group P1 (No. 1)
Inequivalent atoms, fractional coordinates:
Mg  0.000  0.000  0.000
Mg  0.006  0.201  0.783
Mg  0.030  0.751  0.185
Mg  0.352  0.962  0.334
Mg  0.358  0.747  0.544
Al  0.053  0.503  0.395
Al  0.070  0.289  0.577
Al  0.289  0.664  0.754
Al  0.307  0.234  0.147
Al  0.309  0.448  0.929
Cu  0.650  0.823  0.875
Cu  0.677  0.373  0.273
Cu  0.683  0.972  0.663
Cu  0.691  0.562  0.053
Cu  0.706  0.136  0.457

=====

DFT (PBE) results for an optimized crystal structure of MgAl2Cu5.

Values from the calculation:
VASP energy ... -3.6177 eV/atom
Distance to the lowest polymorph of the same formula ... 0.000 eV/atom

Lattice parameters (Å, degrees): 5.861 5.861 12.220 90.00 90.00 90.00
Space group I4_1/amd (No. 141, origin choice 2)
Inequivalent atoms, fractional coordinates:
Mg  0.000  0.250  0.375
Al  0.000  0.250  0.130
Cu  0.000  0.250  0.875
Cu  0.236  0.000  0.000

=====

DFT (PBE) results for an optimized crystal structure of Mg2Al5Cu6.

Values from the calculation:
VASP energy ... -3.6303 eV/atom

Lattice parameters (Å, degrees): 8.249 8.249 8.249 90.00 90.00 90.00
Space group Pm-3 (No. 200)
Inequivalent atoms, fractional coordinates:
Mg  0.000  0.179  0.500
Al  0.000  0.000  0.000
Al  0.000  0.500  0.334
Al  0.282  0.282  0.282
Cu  0.000  0.256  0.165
Cu  0.271  0.500  0.500

=====

DFT (PBE) results for an optimized crystal structure of MgAl2Cu5.

Values from the calculation:
VASP energy ... -3.6167 eV/atom
Distance to the lowest polymorph of the same formula ... 0.001 eV/atom

Lattice parameters (Å, degrees): 4.202 4.202 5.940 90.00 90.00 90.00
Space group P4/mmm (No. 123)
Inequivalent atoms, fractional coordinates:
Mg  0.000  0.000  0.000
Al  0.000  0.000  0.500
Al  0.500  0.500  0.000
Cu  0.000  0.500  0.261
Cu  0.500  0.500  0.500

=====

DFT (PBE) results for an optimized crystal structure of MgAl2Cu5.

Values from the calculation:
VASP energy ... -3.6167 eV/atom
Distance to the lowest polymorph of the same formula ... 0.001 eV/atom

Lattice parameters (Å, degrees): 4.202 4.202 5.940 90.00 90.00 90.00
Space group P4/mmm (No. 123)
Inequivalent atoms, fractional coordinates:
Mg  0.000  0.000  0.000
Al  0.000  0.000  0.500
Al  0.500  0.500  0.000
Cu  0.000  0.500  0.261
Cu  0.500  0.500  0.500